This record from Alexandria via LeMat-Bulk describes Nd4Al3In after structural relaxation. The functional is PBE.

ρ = 5.99 Mg/m³
Fermi-level density of states = 2.78 states/eV per cell
E above lowest polymorph = 0.0 kJ per mole of atoms
total moment = 0.00 μB per formula unit

a = 9.2320 Å, b = 9.2320 Å, c = 9.2320 Å
α = 33.55°, β = 33.55°, γ = 33.55°
Last column: nearest neighbours and their distance in Å.
Fractional positions:
1 Nd 0.1225 0.1225 0.1225  5 Al 3.20-3.29, 3 In 3.29
2 Nd 0.3727 0.3727 0.3727  7 Al 3.24-3.30, 1 In 3.32
3 Nd 0.6273 0.6273 0.6273  7 Al 3.24-3.30, 1 In 3.32
4 Nd 0.8775 0.8775 0.8775  5 Al 3.20-3.29, 3 In 3.29
5 Al 0.0000 0.0000 0.0000  8 Nd 3.20-3.24
6 Al 0.2487 0.2487 0.2487  8 Nd 3.23-3.30
7 Al 0.7513 0.7513 0.7513  8 Nd 3.23-3.30
8 In 0.5000 0.5000 0.5000  8 Nd 3.29-3.32

***

This record from Alexandria via LeMat-Bulk describes Nd5Al2In after structural relaxation. The functional is PBE.

ρ = 6.09 Mg/m³
total DFT energy (no corrections) = -4.5621 eV/atom
Fermi-level density of states = 17.08 states/eV per cell
total moment = 0.00 μB per formula unit

a = 9.4029 Å, b = 9.4029 Å, c = 9.4029 Å
α = 129.29°, β = 129.29°, γ = 74.54°
Last column: nearest neighbours and their distance in Å.
Fractional positions:
1 Nd 0.0000 0.0000 0.0000  4 Al 3.22
2 Nd 0.0246 0.5246 0.8436  3 Al 3.23-3.26, 2 In 3.36, 1 Nd 3.55
3 Nd 0.1809 0.0246 0.5000  3 Al 3.23-3.26, 2 In 3.36, 1 Nd 3.55
4 Nd 0.3191 0.8191 0.8436  3 Al 3.23-3.26, 2 In 3.36, 1 Nd 3.55
5 Nd 0.4754 0.3191 0.5000  3 Al 3.23-3.26, 2 In 3.36, 1 Nd 3.55
6 Nd 0.5000 0.5000 0.0000  4 Al 3.22
7 Nd 0.5246 0.6809 0.5000  3 Al 3.23-3.26, 2 In 3.36, 1 Nd 3.55
8 Nd 0.6809 0.1809 0.1564  3 Al 3.23-3.26, 2 In 3.36, 1 Nd 3.55
9 Nd 0.8191 0.9754 0.5000  3 Al 3.23-3.26, 2 In 3.36, 1 Nd 3.55
10 Nd 0.9754 0.4754 0.1564  3 Al 3.23-3.26, 2 In 3.36, 1 Nd 3.55
11 Al 0.1170 0.3830 0.5000  1 Al 2.67
12 Al 0.3830 0.8830 0.2660  1 Al 2.67
13 Al 0.6170 0.1170 0.7340  1 Al 2.67
14 Al 0.8830 0.6170 0.5000  1 Al 2.67
15 In 0.2500 0.2500 0.0000  10 Nd 3.36-3.74
16 In 0.7500 0.7500 0.0000  10 Nd 3.36-3.74

***

This record from Alexandria via LeMat-Bulk describes Nd3AlIn after structural relaxation. The functional is PBE.

ρ = 6.51 Mg/m³
Fermi-level density of states = 6.99 states/eV per cell
E above lowest polymorph = 0.0 kJ per mole of atoms
total moment = 0.00 μB per formula unit

a = 11.7720 Å, b = 11.7720 Å, c = 5.0488 Å
α = 90.00°, β = 90.00°, γ = 155.23°
Last column: nearest neighbours and their distance in Å.
Fractional positions:
1 Nd 0.0633 0.9367 0.7500  2 Al 3.29, 2 In 3.30, 4 Nd 3.57
2 Nd 0.2501 0.7499 0.7500  4 In 3.32-3.33, 4 Al 3.33, 4 Nd 3.57
3 Nd 0.4368 0.5632 0.7500  2 Al 3.30, 2 In 3.30, 4 Nd 3.57
4 Nd 0.5632 0.4368 0.2500  2 Al 3.30, 2 In 3.30, 4 Nd 3.57
5 Nd 0.7499 0.2501 0.2500  4 In 3.32-3.33, 4 Al 3.33, 4 Nd 3.57
6 Nd 0.9367 0.0633 0.2500  2 Al 3.29, 2 In 3.30, 4 Nd 3.57
7 Al 0.1554 0.8446 0.2500  8 Nd 3.29-3.33, 4 In 3.57
8 Al 0.8446 0.1554 0.7500  8 Nd 3.29-3.33, 4 In 3.57
9 In 0.3441 0.6559 0.2500  8 Nd 3.30-3.33, 4 Al 3.57
10 In 0.6559 0.3441 0.7500  8 Nd 3.30-3.33, 4 Al 3.57

***

This record from Alexandria via LeMat-Bulk describes Nd3Al2In after structural relaxation. The functional is PBE.

ρ = 6.15 Mg/m³
Fermi-level density of states = 5.42 states/eV per cell
E above lowest polymorph = 0.9 kJ per mole of atoms
total moment = 0.00 μB per formula unit

a = 5.3437 Å, b = 5.3437 Å, c = 13.1274 Å
α = 90.00°, β = 90.00°, γ = 120.00°
Last column: nearest neighbours and their distance in Å.
Fractional positions:
1 Nd 0.0000 0.0000 0.2437  5 Al 3.20-3.36, 3 In 3.30
2 Nd 0.0000 0.0000 0.7563  5 Al 3.20-3.36, 3 In 3.30
3 Nd 0.3333 0.6667 0.4161  4 Al 3.26-3.28, 4 In 3.28-3.31
4 Nd 0.3333 0.6667 0.9216  7 Al 3.23-3.30, 1 In 3.33
5 Nd 0.6667 0.3333 0.0784  7 Al 3.23-3.30, 1 In 3.33
6 Nd 0.6667 0.3333 0.5839  4 Al 3.26-3.28, 4 In 3.28-3.31
7 Al 0.0000 0.0000 0.0000  8 Nd 3.20-3.25
8 Al 0.0000 0.0000 0.5000  8 Nd 3.28-3.36
9 Al 0.3333 0.6667 0.1677  8 Nd 3.23-3.30
10 Al 0.6667 0.3333 0.8323  8 Nd 3.23-3.30
11 In 0.3333 0.6667 0.6681  8 Nd 3.28-3.33
12 In 0.6667 0.3333 0.3319  8 Nd 3.28-3.33